Record 1
NiMo2Ru | PBE-GGA | relaxed

Computed properties:
* DFT total energy: -73.26 eV per cell
* formation enthalpy at 0 K: 0.023 eV/atom

a b c (Å): 5.3817 7.6287 2.7627
angles (deg): 90.00 90.00 90.00
Closest atoms and distances in Å follow each position.
Space group Cmmm (No. 65)
One atom of each set of equivalent atoms:
1 Ni 0.0000 0.0000 0.0000 x2  2 Ru 2.69, 8 Mo 2.71, 2 Ni 2.76
2 Mo 0.2500 0.2500 0.5000 x4  4 Mo 2.69-2.76, 4 Ru 2.71, 4 Ni 2.71
3 Ru 0.0000 0.5000 0.0000 x2  2 Ni 2.69, 8 Mo 2.71, 2 Ru 2.76

---

Record 2
Li2Ca3Pb4 | PBE-GGA | relaxed

Computed properties:
* DFT total energy: -56.72 eV per cell
* formation enthalpy at 0 K: -0.410 eV/atom

a b c (Å): 11.6644 4.8307 9.1781
angles (deg): 90.00 103.76 90.00
Closest atoms and distances in Å follow each position.
Space group C2/m (No. 12)
One atom of each set of equivalent atoms:
1 Li 0.2018 0.0000 0.3841 x4  4 Pb 2.79-2.87
2 Ca 0.0000 0.5000 0.0000 x2  8 Pb 3.34-3.71
3 Ca 0.1196 0.0000 0.6989 x4  3 Li 3.25-3.39, 5 Pb 3.33-3.50
4 Pb 0.0818 0.5000 0.3870 x4  3 Li 2.80-2.87
5 Pb 0.2027 0.0000 0.0808 x4  1 Li 2.79

---

Record 3
Pr4Er4Tm5 | PBE-GGA | relaxed

Computed properties:
* DFT total energy: -118.73 eV per cell
* formation enthalpy at 0 K: 0.028 eV/atom

a b c (Å): 12.8656 12.8656 5.0287
angles (deg): 90.00 90.00 90.00
Closest atoms and distances in Å follow each position.
Space group I4/m (No. 87)
One atom of each set of equivalent atoms:
1 Pr 0.0790 0.6189 0.0000 x8  4 Er 3.51-3.57, 3 Tm 3.57-3.62, 5 Pr 3.62-3.67
2 Er 0.1527 0.2281 0.0000 x8  4 Pr 3.51-3.57, 6 Tm 3.53-3.63, 2 Er 3.59
3 Tm 0.0000 0.0000 0.0000 x2  8 Tm 3.53, 4 Er 3.53
4 Tm 0.0390 0.8120 0.5000 x8  4 Tm 3.49-3.53, 5 Er 3.53-3.63, 3 Pr 3.57-3.62

---

Record 4
Sm6Y2Er3Th | PBE-GGA | relaxed

Computed properties:
* DFT total energy: -123.93 eV per cell
* formation enthalpy at 0 K: 0.032 eV/atom

a b c (Å): 6.2158 10.7576 11.8779
angles (deg): 90.00 100.05 90.00
Closest atoms and distances in Å follow each position.
Space group C2/m (No. 12)
One atom of each set of equivalent atoms:
1 Sm 0.2450 0.0000 0.2489 x4  6 Sm 3.55-3.61, 3 Er 3.57-3.59, 1 Th 3.58, 2 Y 3.60
2 Sm 0.2493 0.1648 0.7513 x8  6 Sm 3.55-3.61, 3 Er 3.56-3.58, 1 Th 3.58, 2 Y 3.60
3 Y 0.0000 0.3333 0.5000 x4  3 Th 3.59, 3 Y 3.59, 6 Sm 3.60
4 Er 0.0000 0.1671 0.0000 x4  6 Sm 3.57-3.58, 6 Er 3.58-3.59
5 Er 0.0000 0.5000 0.0000 x2  6 Sm 3.56-3.59, 6 Er 3.58-3.59
6 Th 0.0000 0.0000 0.5000 x2  6 Sm 3.58, 6 Y 3.59

---

Record 5
La6SiC2Br3 | PBE-GGA | relaxed

Computed properties:
* formation energy from raw total energies: -0.9585 eV per atom
* DFT total energy: -139.91 eV per cell

a b c (Å): 19.2492 4.0356 8.9694
angles (deg): 90.00 110.56 90.00
Closest atoms and distances in Å follow each position.
Space group C2/m (No. 12)
One atom of each set of equivalent atoms:
1 La 0.0258 0.0000 0.2499 x4  1 C 2.63, 2 Si 2.93
2 La 0.1658 0.5000 0.1380 x4  2 C 2.67, 1 Si 2.99
3 La 0.1828 0.5000 0.5496 x4  3 C 2.63-2.73
4 Si 0.0000 0.5000 0.0000 x2  6 La 2.93-2.99
5 C 0.1715 0.0000 0.3372 x4  6 La 2.63-2.73
6 Br 0.0000 0.5000 0.5000 x2  6 La 3.18-3.39
7 Br 0.1625 0.0000 0.8312 x4  6 La 3.22-3.44

---

Record 6
YThCu10 | PBE-GGA | relaxed

Computed properties:
* DFT total energy: -56.82 eV per cell
* formation enthalpy at 0 K: -0.165 eV/atom

a b c (Å): 4.1051 5.1184 8.7569
angles (deg): 90.00 90.00 90.00
Closest atoms and distances in Å follow each position.
Space group Pmmm (No. 47)
One atom of each set of equivalent atoms:
1 Y 0.0000 0.0000 0.0000 x1  6 Cu 2.88-2.93
2 Th 0.0000 0.5000 0.5000 x1  18 Cu 2.95-3.28
3 Cu 0.0000 0.0000 0.3294 x2  6 Cu 2.52-2.54
4 Cu 0.0000 0.5000 0.1626 x2  6 Cu 2.50-2.53
5 Cu 0.5000 0.0000 0.5000 x1  8 Cu 2.54
6 Cu 0.5000 0.2501 0.2491 x4  8 Cu 2.52-2.56
7 Cu 0.5000 0.5000 0.0000 x1  8 Cu 2.50-2.53

---

Record 7
Cu2GeAu2 | PBE-GGA | relaxed

Computed properties:
* DFT total energy: -38.21 eV per cell
* formation enthalpy at 0 K: 0.052 eV/atom

a b c (Å): 6.5299 6.5299 3.7451
angles (deg): 90.00 90.00 90.00
Closest atoms and distances in Å follow each position.
Space group P4/mbm (No. 127)
One atom of each set of equivalent atoms:
1 Cu 0.1389 0.3611 0.0000 x4  2 Ge 2.53, 1 Cu 2.56, 6 Au 2.64-2.71
2 Ge 0.0000 0.0000 0.0000 x2  4 Cu 2.53
3 Au 0.1603 0.6603 0.5000 x4  6 Cu 2.64-2.71

---

Record 8
TlTeBr2 | PBE-GGA | relaxed

Computed properties:
* formation energy from raw total energies: -0.0450 eV per atom
* DFT total energy: -36.14 eV per cell

a b c (Å): 8.0754 8.0754 8.0754
angles (deg): 90.00 90.00 90.00
Closest atoms and distances in Å follow each position.
Space group Fm-3m (No. 225)
One atom of each set of equivalent atoms:
1 Tl 0.0000 0.0000 0.0000 x4  8 Br 3.50
2 Te 0.0000 0.0000 0.5000 x4  8 Br 3.50
3 Br 0.2500 0.2500 0.2500 x8  4 Tl 3.50, 4 Te 3.50

---

Fermi-level density of states: 3.2 4.4 18.8 16.2 6.3 8.9 1.4 2.1 (states/eV/f.u.)
Magnetic moment: 0.00 0.00 0.00 0.00 0.00 0.00 0.00 2.87 (μB/f.u.)